Record 1
{
  "formula": "Ca2AgPbCl8",
  "functional": "PBE-GGA",
  "state": "optimized geometry",
  "cell": [[6.687, 0.067, -0.002], [0.115, 6.336, -0.009], [0.012, 0.007, 8.290]],
  "species": ["Ca", "Ca", "Ag", "Pb", "Cl", "Cl", "Cl", "Cl", "Cl", "Cl", "Cl", "Cl"],
  "fractional_positions": [[0.500, 0.500, 0.763], [0.500, 0.500, 0.237], [0.000, 0.000, 0.000], [0.000, 0.000, 0.500], [0.155, 0.770, 0.222], [0.657, 0.731, 0.000], [0.845, 0.230, 0.223], [0.845, 0.230, 0.778], [0.343, 0.269, 0.000], [0.155, 0.770, 0.777], [0.661, 0.712, 0.500], [0.339, 0.288, 0.500]],
  "dos_at_fermi_per_ev_cell": 4.9,
  "e_form_raw_mev_per_atom": -1523.7,
  "crystal_system": "triclinic",
  "vol_a3_per_cell": 351.2
}


Record 2
{
  "formula": "La3DyGe2C",
  "functional": "PBE-GGA",
  "state": "optimized geometry",
  "cell": [[4.830, 0.000, 0.000], [0.000, 4.949, 0.000], [-2.415, -2.474, 8.052]],
  "species": ["La", "La", "La", "Dy", "Ge", "Ge", "C"],
  "fractional_positions": [[0.000, 0.500, 0.000], [0.170, 0.170, 0.339], [0.830, 0.830, 0.661], [0.500, 0.000, 0.000], [0.634, 0.634, 0.269], [0.366, 0.366, 0.731], [0.000, 0.000, 0.000]],
  "dos_at_fermi_per_ev_cell": 2.2,
  "crystal_system": "orthorhombic",
  "ef_ev_per_atom": -0.5702,
  "vol_a3_per_cell": 192.5
}


Record 3
{
  "formula": "Al5Pb",
  "functional": "PBE-GGA",
  "state": "optimized geometry",
  "cell": [[-4.442, 3.989, -3.644], [2.606, -6.433, 0.862], [-3.088, -0.875, 2.806]],
  "species": ["Al", "Al", "Al", "Al", "Al", "Pb"],
  "fractional_positions": [[0.323, 0.677, 0.500], [0.179, 0.821, 0.000], [0.000, 0.000, 0.500], [0.821, 0.179, 0.000], [0.677, 0.323, 0.500], [0.500, 0.500, 0.000]],
  "dos_at_fermi_per_ev_cell": 2.1,
  "relative_energy_mev_per_atom": 46,
  "crystal_system": "orthorhombic",
  "ef_ev_per_atom": 0.1888,
  "vol_a3_per_cell": 117.7
}


Record 4
{
  "formula": "V3CoH4",
  "functional": "PBE-GGA",
  "state": "optimized geometry",
  "cell": [[4.472, 0.000, 0.000], [0.000, 5.130, 0.000], [0.000, 0.000, 5.490]],
  "species": ["V", "V", "V", "V", "V", "V", "Co", "Co", "H", "H", "H", "H", "H", "H", "H", "H"],
  "fractional_positions": [[0.504, 0.858, 0.000], [0.011, 0.649, 0.232], [0.511, 0.351, 0.268], [0.004, 0.142, 0.500], [0.511, 0.351, 0.732], [0.011, 0.649, 0.768], [0.003, 0.175, 0.000], [0.503, 0.825, 0.500], [0.107, 0.874, 0.000], [0.642, 0.183, 0.000], [0.119, 0.318, 0.244], [0.619, 0.682, 0.256], [0.142, 0.817, 0.500], [0.607, 0.126, 0.500], [0.619, 0.682, 0.744], [0.119, 0.318, 0.756]],
  "total_energy_ev_per_atom": -6.05,
  "dos_at_fermi_per_ev_cell": 12.1,
  "crystal_system": "orthorhombic",
  "vol_a3_per_cell": 126.0
}


Record 5
{
  "formula": "Sm5CdPt2",
  "functional": "PBE-GGA",
  "state": "optimized geometry",
  "cell": [[-3.688, 6.893, 1.965], [-4.592, -0.575, -6.600], [-0.482, -6.635, 5.836]],
  "species": ["Sm", "Sm", "Sm", "Sm", "Sm", "Sm", "Sm", "Sm", "Sm", "Sm", "Cd", "Cd", "Pt", "Pt", "Pt", "Pt"],
  "fractional_positions": [[0.523, 0.703, 0.726], [0.797, 0.977, 0.274], [0.000, 0.000, 0.000], [0.500, 0.500, 0.000], [0.203, 0.023, 0.726], [0.703, 0.203, 0.726], [0.023, 0.523, 0.726], [0.297, 0.797, 0.274], [0.977, 0.477, 0.274], [0.477, 0.297, 0.274], [0.750, 0.750, 0.500], [0.250, 0.250, 0.500], [0.134, 0.366, 0.000], [0.634, 0.134, 0.000], [0.366, 0.866, 0.000], [0.866, 0.634, 0.000]],
  "dos_at_fermi_per_ev_cell": 17.2,
  "crystal_system": "tetragonal",
  "ef_ev_per_atom": -0.7014,
  "vol_a3_per_cell": 439.9
}


Record 6
{
  "formula": "Cd3P",
  "functional": "PBE-GGA",
  "state": "optimized geometry",
  "cell": [[3.709, 4.142, -6.539], [-5.957, 1.110, 6.079], [2.719, 1.376, 2.413]],
  "species": ["Cd", "Cd", "Cd", "Cd", "Cd", "Cd", "P", "P"],
  "fractional_positions": [[0.212, 0.788, 0.250], [0.788, 0.212, 0.750], [0.171, 0.323, 0.250], [0.829, 0.677, 0.750], [0.323, 0.171, 0.750], [0.677, 0.829, 0.250], [0.670, 0.330, 0.250], [0.330, 0.670, 0.750]],
  "dos_at_fermi_per_ev_cell": 2.8,
  "relative_energy_mev_per_atom": 46,
  "crystal_system": "orthorhombic",
  "ef_ev_per_atom": 0.1361,
  "vol_a3_per_cell": 180.2
}


Record 7
{
  "formula": "GaS3N",
  "functional": "PBE-GGA",
  "state": "optimized geometry",
  "cell": [[-2.131, 1.880, -3.063], [1.655, -2.648, -2.777], [-3.190, -2.630, 0.606]],
  "species": ["S", "S", "S", "Ga", "N"],
  "fractional_positions": [[0.000, 0.500, 0.000], [0.000, 0.000, 0.500], [0.500, 0.000, 0.000], [0.500, 0.500, 0.500], [0.000, 0.000, 0.000]],
  "dos_at_fermi_per_ev_cell": 3.2,
  "relative_energy_mev_per_atom": 0,
  "e_form_raw_mev_per_atom": 993.6,
  "crystal_system": "cubic",
  "vol_a3_per_cell": 73.0
}


Record 8
{
  "formula": "Mg2Be3Tl2F12",
  "functional": "PBE-GGA",
  "state": "optimized geometry",
  "cell": [[10.122, 0.000, 0.000], [0.000, 10.122, 0.000], [0.000, 0.000, 10.122]],
  "species": ["Mg", "Mg", "Mg", "Mg", "Mg", "Mg", "Mg", "Mg", "Be", "Be", "Be", "Be", "Be", "Be", "Be", "Be", "Be", "Be", "Be", "Be", "Tl", "Tl", "Tl", "Tl", "Tl", "Tl", "Tl", "Tl", "F", "F", "F", "F", "F", "F", "F", "F", "F", "F", "F", "F", "F", "F", "F", "F", "F", "F", "F", "F", "F", "F", "F", "F", "F", "F", "F", "F", "F", "F", "F", "F", "F", "F", "F", "F", "F", "F", "F", "F", "F", "F", "F", "F", "F", "F", "F", "F"],
  "fractional_positions": [[0.336, 0.336, 0.336], [0.164, 0.664, 0.836], [0.664, 0.836, 0.164], [0.836, 0.164, 0.664], [0.605, 0.605, 0.605], [0.895, 0.395, 0.105], [0.395, 0.105, 0.895], [0.105, 0.895, 0.395], [0.021, 0.208, 0.375], [0.479, 0.792, 0.875], [0.979, 0.708, 0.125], [0.375, 0.021, 0.208], [0.521, 0.292, 0.625], [0.875, 0.479, 0.792], [0.125, 0.979, 0.708], [0.625, 0.521, 0.292], [0.208, 0.375, 0.021], [0.708, 0.125, 0.979], [0.292, 0.625, 0.521], [0.792, 0.875, 0.479], [0.046, 0.046, 0.046], [0.454, 0.954, 0.546], [0.954, 0.546, 0.454], [0.546, 0.454, 0.954], [0.818, 0.818, 0.818], [0.682, 0.182, 0.318], [0.182, 0.318, 0.682], [0.318, 0.682, 0.182], [0.018, 0.061, 0.329], [0.482, 0.939, 0.829], [0.982, 0.561, 0.171], [0.329, 0.018, 0.061], [0.518, 0.439, 0.671], [0.829, 0.482, 0.939], [0.171, 0.982, 0.561], [0.671, 0.518, 0.439], [0.061, 0.329, 0.018], [0.561, 0.171, 0.982], [0.439, 0.671, 0.518], [0.939, 0.829, 0.482], [0.274, 0.495, 0.439], [0.226, 0.505, 0.939], [0.726, 0.995, 0.061], [0.439, 0.274, 0.495], [0.774, 0.005, 0.561], [0.939, 0.226, 0.505], [0.061, 0.726, 0.995], [0.561, 0.774, 0.005], [0.495, 0.439, 0.274], [0.995, 0.061, 0.726], [0.005, 0.561, 0.774], [0.505, 0.939, 0.226], [0.049, 0.796, 0.231], [0.451, 0.204, 0.731], [0.951, 0.296, 0.269], [0.231, 0.049, 0.796], [0.549, 0.704, 0.769], [0.731, 0.451, 0.204], [0.269, 0.951, 0.296], [0.769, 0.549, 0.704], [0.796, 0.231, 0.049], [0.296, 0.269, 0.951], [0.704, 0.769, 0.549], [0.204, 0.731, 0.451], [0.166, 0.255, 0.399], [0.334, 0.745, 0.899], [0.834, 0.755, 0.101], [0.399, 0.166, 0.255], [0.666, 0.245, 0.601], [0.899, 0.334, 0.745], [0.101, 0.834, 0.755], [0.601, 0.666, 0.245], [0.255, 0.399, 0.166], [0.755, 0.101, 0.834], [0.245, 0.601, 0.666], [0.745, 0.899, 0.334]],
  "dos_at_fermi_per_ev_cell": 0.0,
  "e_form_raw_mev_per_atom": -3089.2,
  "crystal_system": "cubic",
  "vol_a3_per_cell": 1036.9
}